DFT (PBE+U) results for a geometry-optimized PuInCo2O6 structure.

```
10
Lattice="-1.763 3.027 2.169 -3.964 0.945 -4.542 -3.834 -4.031 2.508" Properties=species:S:1:pos:R:3 pbc="T T T"
Pu -1.312 2.253 1.614
In -5.208 0.704 0.593
Co -3.299 2.734 -0.651
Co -3.234 0.246 2.874
O -3.203 1.507 1.123
O -5.179 -0.570 2.415
O -4.327 -0.808 -0.490
O -0.431 0.740 0.530
O -7.222 -0.083 0.074
O -5.246 1.994 -1.218
```

Calculated values
space group = P4mm, No. 99
E = -7.0348 eV/atom